CrRe2Au | PBE-GGA | optimized geometry

Output
The value obtained for the calculated density is 17.0 g/cm3. As for the spin magnetization: 0.3 μB/f.u. For the offset from the most stable computed form, the calculation gives 137.1 meV/atom. As for the formation energy: 0.403 eV per atom.

Structure (POSCAR):
```
CrRe2Au
1.0
3.202 0.000 0.000
0.000 3.202 0.000
0.000 0.000 5.920
Re Au Cr
2 1 1
direct
0.000 0.000 0.543
0.000 0.000 0.957
0.500 0.500 0.250
0.500 0.500 0.750
```

Cr2ReAu | PBE-GGA | optimized geometry

Output
The value obtained for the calculated density is 14.1 g/cm3. As for the spin magnetization: 0.0 μB/f.u. For the offset from the most stable computed form, the calculation gives 69.6 meV/atom. As for the formation energy: 0.317 eV per atom.

Structure (POSCAR):
```
Cr2ReAu
1.0
2.656 -0.006 0.000
-0.837 2.520 0.000
0.000 0.000 8.571
Cr Au Re
2 1 1
direct
0.000 0.000 0.484
0.000 0.000 0.016
0.500 0.500 0.750
0.500 0.500 0.250
```

CrReAu3 | PBE-GGA | optimized geometry

Output
The value obtained for the calculated density is 11.2 g/cm3. As for the spin magnetization: 0.2 μB/f.u. For the offset from the most stable computed form, the calculation gives 0.0 meV/atom. As for the formation energy: 1.876 eV per atom.

Structure (POSCAR):
```
CrReAu3
1.0
-0.179 -4.522 -2.075
2.418 -1.894 3.918
-4.348 -0.867 2.264
Au Cr Re
3 1 1
direct
0.000 0.000 0.500
0.000 0.500 0.000
0.500 0.000 0.000
0.500 0.500 0.500
0.000 0.000 0.000
```

CrRe4Au | PBE-GGA | optimized geometry

Output
The value obtained for the calculated density is 16.9 g/cm3. As for the spin magnetization: 1.7 μB/f.u. As for the formation energy: 0.558 eV per atom.

Structure (POSCAR):
```
CrRe4Au
1.0
-0.324 2.864 4.292
-4.627 1.434 1.807
-1.829 -2.082 4.365
Cr Re Au
1 4 1
direct
0.000 0.000 0.000
0.376 0.376 0.376
0.873 0.376 0.376
0.376 0.873 0.376
0.376 0.376 0.873
0.750 0.750 0.750
```

Cr2ReAu | PBE-GGA | optimized geometry

Output
The value obtained for the calculated density is 13.8 g/cm3. As for the spin magnetization: 1.9 μB/f.u. For the offset from the most stable computed form, the calculation gives 288.7 meV/atom. As for the formation energy: 0.536 eV per atom.

Structure (POSCAR):
```
Cr2ReAu
1.0
4.363 0.000 0.000
2.182 3.779 0.000
2.182 1.260 3.563
Cr Au Re
2 1 1
direct
0.000 0.000 0.000
0.750 0.750 0.750
0.500 0.500 0.500
0.250 0.250 0.250
```

CrRe2Au | PBE-GGA | optimized geometry

Output
The value obtained for the calculated density is 17.3 g/cm3. As for the spin magnetization: 0.9 μB/f.u. For the offset from the most stable computed form, the calculation gives 177.2 meV/atom. As for the formation energy: 0.443 eV per atom.

Structure (POSCAR):
```
CrRe2Au
1.0
4.769 -0.017 0.000
-1.661 4.470 0.000
0.000 0.000 2.795
Cr Au Re
1 1 2
direct
0.000 0.500 0.500
0.500 0.000 0.500
0.500 0.500 0.000
0.000 0.000 0.000
```

CrRe2Au | PBE-GGA | optimized geometry

Output
The value obtained for the calculated density is 17.1 g/cm3. As for the spin magnetization: 0.0 μB/f.u. For the offset from the most stable computed form, the calculation gives 79.7 meV/atom. As for the formation energy: 0.346 eV per atom.

Structure (POSCAR):
```
CrRe2Au
1.0
-2.546 0.101 0.816
1.416 -1.646 1.563
2.017 6.897 5.438
Re Cr Au
2 1 1
direct
0.000 0.000 0.973
0.000 0.000 0.527
0.500 0.500 0.750
0.500 0.500 0.250
```

Cr2ReAu | PBE-GGA | optimized geometry

Output
The value obtained for the calculated density is 13.8 g/cm3. As for the spin magnetization: 3.9 μB/f.u. For the offset from the most stable computed form, the calculation gives 106.3 meV/atom. As for the formation energy: 0.353 eV per atom.

Structure (POSCAR):
```
Cr2ReAu
1.0
0.000 3.085 3.085
3.085 0.000 3.085
3.085 3.085 0.000
Cr Re Au
2 1 1
direct
0.750 0.750 0.750
0.250 0.250 0.250
0.000 0.000 0.000
0.500 0.500 0.500
```

CrRe2Au | PBE-GGA | optimized geometry

Output
The value obtained for the calculated density is 17.3 g/cm3. As for the spin magnetization: 1.3 μB/f.u. For the offset from the most stable computed form, the calculation gives 88.5 meV/atom. As for the formation energy: 0.355 eV per atom.

Structure (POSCAR):
```
CrRe2Au
1.0
2.813 0.000 0.000
0.000 4.714 0.018
0.000 3.176 4.520
Re Au Cr
2 1 1
direct
0.000 0.000 0.000
0.500 0.500 0.000
0.500 0.500 0.500
0.000 0.000 0.500
```

CrReAu | PBE-GGA | optimized geometry

Output
The value obtained for the calculated density is 15.7 g/cm3. As for the spin magnetization: 0.8 μB/f.u. For the offset from the most stable computed form, the calculation gives 0.0 meV/atom. As for the formation energy: 0.343 eV per atom.

Structure (POSCAR):
```
CrReAu
1.0
-4.182 -3.432 -2.120
-2.612 -5.014 1.341
1.995 5.249 1.494
Au Re Cr
1 1 1
direct
0.994 0.994 0.000
0.690 0.690 0.000
0.316 0.316 0.000
```

CrReAu | PBE-GGA | optimized geometry

Output
The value obtained for the calculated density is 16.3 g/cm3. As for the spin magnetization: 0.0 μB/f.u. For the offset from the most stable computed form, the calculation gives 85.7 meV/atom. As for the formation energy: 0.429 eV per atom.

Structure (POSCAR):
```
CrReAu
1.0
-1.360 4.285 1.700
-4.062 0.380 2.541
4.376 -1.942 -0.420
Re Au Cr
1 1 1
direct
0.672 0.672 0.000
0.999 0.999 0.000
0.329 0.329 0.000
```

CrRe2Au | PBE-GGA | optimized geometry

Output
The value obtained for the calculated density is 17.0 g/cm3. As for the spin magnetization: 0.9 μB/f.u. For the offset from the most stable computed form, the calculation gives 125.3 meV/atom. As for the formation energy: 0.391 eV per atom.

Structure (POSCAR):
```
CrRe2Au
1.0
2.700 -0.008 0.000
-0.913 2.541 0.000
0.000 0.000 8.883
Cr Re Au
1 2 1
direct
0.500 0.500 0.769
0.500 0.500 0.233
0.000 0.000 0.986
0.000 0.000 0.512
```